Record 1
DFT (PBE-GGA) results for an optimized crystal structure of In2Ga2Au5.

Cell and atoms, written as POSCAR:
```
In2Ga2Au5
1.0
6.8053 -3.0281 0.0000
6.8053 3.0281 0.0000
0.0000 0.0000 8.8799
In Ga Au
4 4 10
Direct
0.2151 0.2151 0.0000
0.2849 0.2849 0.5000
0.7151 0.7151 0.5000
0.7849 0.7849 0.0000
0.1090 0.8910 0.6372
0.3910 0.6090 0.1372
0.6090 0.3910 0.8628
0.8910 0.1090 0.3628
0.0000 0.0000 0.0000
0.0300 0.6865 0.2910
0.1865 0.5300 0.7910
0.3135 0.9700 0.2910
0.4700 0.8135 0.7910
0.5000 0.5000 0.5000
0.5300 0.1865 0.2090
0.6865 0.0300 0.7090
0.8135 0.4700 0.2090
0.9700 0.3135 0.7090
```

The formation energy is -98 meV/atom. Its density of states at the Fermi level is 3.2 states/eV/f.u. Its space-group type is Cmce (64). The value obtained for the calculated total energy is -3.1997 eV per atom. The value obtained for the relative energy among the computed polymorphs is 0.409 eV/f.u. The calculation puts the magnetic moment at 0.00 μB/f.u.

Record 2
DFT (PBE-GGA) results for an optimized crystal structure of InBi2Pb9.

Cell and atoms, written as POSCAR:
```
InBi2Pb9
1.0
5.9764 0.0000 0.0000
0.0000 5.9764 0.0000
0.0000 0.0000 10.6307
In Bi Pb
1 2 9
Direct
0.0000 0.0000 0.0000
0.0000 0.0000 0.3215
0.0000 0.0000 0.6785
0.0000 0.5000 0.1684
0.0000 0.5000 0.5000
0.0000 0.5000 0.8316
0.5000 0.0000 0.1684
0.5000 0.0000 0.5000
0.5000 0.0000 0.8316
0.5000 0.5000 0.0000
0.5000 0.5000 0.3360
0.5000 0.5000 0.6640
```

The formation energy is 27 meV/atom. Its density of states at the Fermi level is 5.8 states/eV/f.u. Its space-group type is P4/mmm (123). The value obtained for the calculated total energy is -3.6289 eV per atom. The calculation puts the magnetic moment at 0.00 μB/f.u.

Record 3
DFT (PBE-GGA) results for an optimized crystal structure of CoMo2Cl.

Cell and atoms, written as POSCAR:
```
CoMo2Cl
1.0
-1.8492 1.8492 4.3179
1.8492 -1.8492 4.3179
1.8492 1.8492 -4.3179
Co Mo Cl
1 2 1
Direct
0.0000 0.0000 0.0000
0.2500 0.7500 0.5000
0.7500 0.2500 0.5000
0.5000 0.5000 0.0000
```

Its density of states at the Fermi level is 4.1 states/eV/f.u. Its space-group type is I4/mmm (139). The value obtained for the calculated total energy is -6.7325 eV per atom. The value obtained for the relative energy among the computed polymorphs is 2.574 eV/f.u. The calculation puts the magnetic moment at 1.14 μB/f.u. The calculation puts the raw formation energy at 3.685 eV/f.u.

Record 4
DFT (PBE-GGA) results for an optimized crystal structure of Y2FeNiW.

Cell and atoms, written as POSCAR:
```
Y2FeNiW
1.0
5.1433 0.0000 0.0000
0.0000 5.1433 0.0000
0.0000 0.0000 4.3590
Y Fe Ni W
2 1 1 1
Direct
0.0000 0.5000 0.0000
0.5000 0.0000 0.0000
0.0000 0.0000 0.0000
0.5000 0.5000 0.5000
0.0000 0.0000 0.5000
```

The formation energy is 724 meV/atom. Its density of states at the Fermi level is 6.5 states/eV/f.u. Its space-group type is P4/mmm (123). The value obtained for the calculated total energy is -7.3013 eV per atom. The calculation puts the magnetic moment at 0.22 μB/f.u.

Record 5
DFT (PBE-GGA) results for an optimized crystal structure of SbTe2W.

Cell and atoms, written as POSCAR:
```
SbTe2W
1.0
1.5520 0.8961 12.6723
-1.5520 0.8961 12.6723
0.0000 -1.7921 12.6723
Sb Te W
1 2 1
Direct
0.0000 0.0000 0.0000
0.4278 0.4278 0.4278
0.5722 0.5722 0.5722
0.5000 0.5000 0.5000
```

Its density of states at the Fermi level is 5.5 states/eV/f.u. Its space-group type is R-3m (166). The value obtained for the calculated total energy is -4.9770 eV per atom. The calculation puts the magnetic moment at 1.18 μB/f.u. The calculation puts the raw formation energy at 3.451 eV/f.u.

Record 6
DFT (PBE-GGA) results for an optimized crystal structure of ErH3S3O12.

Cell and atoms, written as POSCAR:
```
ErH3S3O12
1.0
9.5801 0.0000 0.0000
0.0000 17.2197 0.0000
0.0000 0.0000 12.0741
Er H S O
8 24 24 96
Direct
0.1825 0.2318 0.1064
0.1825 0.2682 0.6064
0.3175 0.7318 0.1064
0.3175 0.7682 0.6064
0.6825 0.2318 0.3936
0.6825 0.2682 0.8936
0.8175 0.7318 0.3936
0.8175 0.7682 0.8936
0.0899 0.5706 0.7428
0.0899 0.9294 0.2428
0.1072 0.5014 0.4164
0.1072 0.9986 0.9164
0.1367 0.0605 0.4212
0.1367 0.4395 0.9212
0.3633 0.5605 0.4212
0.3633 0.9395 0.9212
0.3928 0.0014 0.4164
0.3928 0.4986 0.9164
0.4101 0.0706 0.7428
0.4101 0.4294 0.2428
0.5899 0.5706 0.7572
0.5899 0.9294 0.2572
0.6072 0.5014 0.0836
0.6072 0.9986 0.5836
0.6367 0.0605 0.0788
0.6367 0.4395 0.5788
0.8633 0.5605 0.0788
0.8633 0.9395 0.5788
0.8928 0.0014 0.0836
0.8928 0.4986 0.5836
0.9101 0.0706 0.7572
0.9101 0.4294 0.2572
0.0312 0.1622 0.3626
0.0312 0.3378 0.8626
0.0802 0.6051 0.5140
0.0802 0.8949 0.0140
0.1525 0.6669 0.8426
0.1525 0.8331 0.3426
0.3475 0.1669 0.8426
0.3475 0.3331 0.3426
0.4198 0.1051 0.5140
0.4198 0.3949 0.0140
0.4688 0.6622 0.3626
0.4688 0.8378 0.8626
0.5312 0.1622 0.1374
0.5312 0.3378 0.6374
0.5802 0.6051 0.9860
0.5802 0.8949 0.4860
0.6525 0.6669 0.6574
0.6525 0.8331 0.1574
0.8475 0.1669 0.6574
0.8475 0.3331 0.1574
0.9198 0.1051 0.9860
0.9198 0.3949 0.4860
0.9688 0.6622 0.1374
0.9688 0.8378 0.6374
0.0164 0.7057 0.8343
0.0164 0.7943 0.3343
0.0243 0.5622 0.6103
0.0243 0.9378 0.1103
0.0312 0.1328 0.0581
0.0312 0.3672 0.5581
0.0385 0.0786 0.4161
0.0385 0.4214 0.9161
0.0754 0.2193 0.4453
0.0754 0.2807 0.9453
0.1166 0.6705 0.1660
0.1166 0.8295 0.6660
0.1227 0.1603 0.2656
0.1227 0.3397 0.7656
0.1271 0.5778 0.8200
0.1271 0.9222 0.3200
0.1694 0.5451 0.4430
0.1694 0.9549 0.9430
0.1826 0.6637 0.5434
0.1826 0.8363 0.0434
0.2110 0.6678 0.9538
0.2110 0.8322 0.4538
0.2501 0.1940 0.7580
0.2501 0.3060 0.2580
0.2499 0.6940 0.7580
0.2499 0.8060 0.2580
0.2890 0.1678 0.9538
0.2890 0.3322 0.4538
0.3174 0.1637 0.5434
0.3174 0.3363 0.0434
0.3306 0.0451 0.4430
0.3306 0.4549 0.9430
0.3729 0.0778 0.8200
0.3729 0.4222 0.3200
0.3773 0.6603 0.2656
0.3773 0.8397 0.7656
0.3834 0.1705 0.1660
0.3834 0.3295 0.6660
0.4246 0.7193 0.4453
0.4246 0.7807 0.9453
0.4615 0.5786 0.4161
0.4615 0.9214 0.9161
0.4688 0.6328 0.0581
0.4688 0.8672 0.5581
0.4757 0.0622 0.6103
0.4757 0.4378 0.1103
0.4836 0.2057 0.8343
0.4836 0.2943 0.3343
0.5164 0.7057 0.6657
0.5164 0.7943 0.1657
0.5243 0.5622 0.8897
0.5243 0.9378 0.3897
0.5312 0.1328 0.4419
0.5312 0.3672 0.9419
0.5385 0.0786 0.0839
0.5385 0.4214 0.5839
0.5754 0.2193 0.0547
0.5754 0.2807 0.5547
0.6166 0.6705 0.3340
0.6166 0.8295 0.8340
0.6227 0.1603 0.2344
0.6227 0.3397 0.7344
0.6271 0.5778 0.6800
0.6271 0.9222 0.1800
0.6694 0.5451 0.0570
0.6694 0.9549 0.5570
0.6826 0.6637 0.9566
0.6826 0.8363 0.4566
0.7110 0.6678 0.5462
0.7110 0.8322 0.0462
0.7501 0.1940 0.7420
0.7501 0.3060 0.2420
0.7499 0.6940 0.7420
0.7499 0.8060 0.2420
0.7890 0.1678 0.5462
0.7890 0.3322 0.0462
0.8174 0.1637 0.9566
0.8174 0.3363 0.4566
0.8306 0.0451 0.0570
0.8306 0.4549 0.5570
0.8729 0.0778 0.6800
0.8729 0.4222 0.1800
0.8773 0.6603 0.2344
0.8773 0.8397 0.7344
0.8834 0.1705 0.3340
0.8834 0.3295 0.8340
0.9246 0.7193 0.0547
0.9246 0.7807 0.5547
0.9615 0.5786 0.0839
0.9615 0.9214 0.5839
0.9688 0.6328 0.4419
0.9688 0.8672 0.9419
0.9757 0.0622 0.8897
0.9757 0.4378 0.3897
0.9836 0.2057 0.6657
0.9836 0.2943 0.1657
```

Its density of states at the Fermi level is 0.0 states/eV/f.u. Its space-group type is Pbca (61). The value obtained for the calculated total energy is -6.1569 eV per atom. The calculation puts the magnetic moment at 0.00 μB/f.u.

What is the formula in the fourth record?
Y2FeNiW